[1]
First-principles (PBE) data for a geometry-optimized Li2Nd3Pt4 structure, as listed in Alexandria via LeMat-Bulk.

E in eV per formula unit: -50.27
DFT formation energy in kJ per mole of atoms: -86

Lattice parameters (Å, degrees): 10.3390 4.2882 8.7846 90.00 98.09 90.00
Space group C2/m (No. 12)
Asymmetric unit:
Li (0.1839, 0.0000, 0.2878) [4 per cell]
Nd (0.0000, 0.5000, 0.5000) [2 per cell]
Nd (0.1184, 0.0000, 0.8784) [4 per cell]
Pt (0.0919, 0.5000, 0.1345) [4 per cell]
Pt (0.2130, 0.0000, 0.5906) [4 per cell]

***

[2]
First-principles (PBE) data for a geometry-optimized Li2Nd3Pt3 structure, as listed in Alexandria via LeMat-Bulk.

E in eV per formula unit: -42.85
DFT formation energy in kJ per mole of atoms: -80

Lattice parameters (Å, degrees): 8.6547 8.6547 5.7860 90.00 90.00 120.00
Space group P6_3/mcm (No. 193)
Asymmetric unit:
Li (0.3333, 0.6667, 0.0000) [4 per cell]
Nd (0.0000, 0.2849, 0.2500) [6 per cell]
Pt (0.0000, 0.3777, 0.7500) [6 per cell]

***

Number 1: D(E_F) 0.566 states/eV/atom. Number 2: D(E_F) 0.648 states/eV/atom.